1.
# Zn8Ru (PBEsol, relaxed)
data_Zn8Ru
_cell_length_a 8.220
_cell_length_b 8.220
_cell_length_c 3.615
_cell_angle_alpha 90.00
_cell_angle_beta 90.00
_cell_angle_gamma 90.00
_symmetry_space_group_name_H-M 'I 4/m m m'
_symmetry_Int_Tables_number 139
_symmetry_space_group_name_Hall '-I 4 2'
loop_
_atom_site_label
_atom_site_fract_x
_atom_site_fract_y
_atom_site_fract_z
Zn1 0.000 0.332 0.000
Zn2 0.166 0.166 0.500
Ru1 0.000 0.000 0.000
# crystal system: tetragonal
# density: 8.489 g cm⁻³
# density of states at the Fermi level: 7.46 states/eV per cell
# size of the total moment: 0.001 μB per cell
# E: -2.557 eV per atom

2.
# Zn3Ru (PBEsol, relaxed)
data_Zn3Ru
_cell_length_a 2.7354
_cell_length_b 2.7354
_cell_length_c 8.3899
_cell_angle_alpha 90.00
_cell_angle_beta 90.00
_cell_angle_gamma 120.00
_symmetry_space_group_name_H-M 'P -6 m 2'
_symmetry_Int_Tables_number 187
_symmetry_space_group_name_Hall 'P -6 2'
loop_
_atom_site_label
_atom_site_fract_x
_atom_site_fract_y
_atom_site_fract_z
Zn1 0.0000 0.0000 0.0000
Zn2 0.6667 0.3333 0.2531
Ru1 0.0000 0.0000 0.5000
# crystal system: hexagonal
# density: 9.080 g cm⁻³
# density of states at the Fermi level: 1.97 states/eV per cell
# size of the total moment: 0.001 μB per cell
# E: -3.697 eV per atom

3.
# Zn7Ru (PBEsol, relaxed)
data_Zn7Ru
_cell_length_a 7.566
_cell_length_b 7.566
_cell_length_c 7.566
_cell_angle_alpha 90.00
_cell_angle_beta 90.00
_cell_angle_gamma 90.00
_symmetry_space_group_name_H-M 'F m -3 m'
_symmetry_Int_Tables_number 225
_symmetry_space_group_name_Hall '-F 4 2 3'
loop_
_atom_site_label
_atom_site_fract_x
_atom_site_fract_y
_atom_site_fract_z
Zn1 0.000 0.000 0.000
Zn2 0.000 0.250 0.250
Ru1 0.000 0.000 0.500
# crystal system: cubic
# density: 8.571 g cm⁻³
# density of states at the Fermi level: 14.87 states/eV per cell
# size of the total moment: 0.001 μB per cell
# E: -2.731 eV per atom

How do the records compare in E_form? In the order shown, they have -20, 32, -76 meV per atom.